This record from the Alexandria database describes an optimized crystal structure of ScZnGa. The functional is PBE.

```
data_ScZnGa
_chemical_formula_sum 'Sc2 Zn2 Ga2'
_cell_length_a 5.446
_cell_length_b 4.327
_cell_length_c 5.425
_cell_angle_alpha 66.49
_cell_angle_beta 106.13
_cell_angle_gamma 113.45
_symmetry_space_group_name_H-M 'P 1'
_symmetry_Int_Tables_number 1
loop_
_symmetry_equiv_pos_as_xyz
'x,y,z'
loop_
_atom_site_label
_atom_site_fract_x
_atom_site_fract_y
_atom_site_fract_z
_atom_site_occupancy
Sc1 0.723 0.570 0.639 1
Sc2 0.222 0.570 0.139 1
Zn1 0.282 0.899 0.542 1
Zn2 0.163 0.242 0.737 1
Ga1 0.832 0.907 0.075 1
Ga2 0.612 0.233 0.203 1
```

The density of states at the Fermi level is 4.1 states/eV per cell. The total energy is -4.037 eV per atom. The volume comes out at 106 Å³ per cell. Its crystal system is monoclinic.